Entry 1:
Compound: SiGeBiSb2
Source: Alexandria via LeMat-Bulk
Functional: PBE-GGA
Structure: relaxed

Total magnetic moment ... 0.00 μB per atom
Formation energy without anion corrections ... 0.64 eV per atom

CIF file:
```
data_SiGeBiSb2
_cell_length_a 5.490
_cell_length_b 5.490
_cell_length_c 4.664
_cell_angle_alpha 90.00
_cell_angle_beta 90.00
_cell_angle_gamma 90.00
_space_group_name_H-M_alt 'P 1'
_space_group_IT_number 1
loop_
_space_group_symop_operation_xyz
'x,y,z'
loop_
_atom_site_label
_atom_site_fract_x
_atom_site_fract_y
_atom_site_fract_z
Si1 0.000 0.000 0.000
Ge1 0.000 0.000 0.500
Bi1 0.500 0.500 0.000
Sb1 0.000 0.500 0.500
Sb2 0.500 0.000 0.500
```



Entry 2:
Compound: GeBiSbTe2
Source: Alexandria via LeMat-Bulk
Functional: PBE-GGA
Structure: relaxed

Total magnetic moment ... 0.00 μB per atom
Formation energy without anion corrections ... 0.44 eV per atom
Energy relative to the lowest polymorph listed for this composition ... 0.000 eV per atom

CIF file:
```
data_GeBiSbTe2
_cell_length_a 5.377
_cell_length_b 5.377
_cell_length_c 5.412
_cell_angle_alpha 90.00
_cell_angle_beta 90.00
_cell_angle_gamma 90.00
_space_group_name_H-M_alt 'P 1'
_space_group_IT_number 1
loop_
_space_group_symop_operation_xyz
'x,y,z'
loop_
_atom_site_label
_atom_site_fract_x
_atom_site_fract_y
_atom_site_fract_z
Ge1 0.000 0.000 0.000
Bi1 0.500 0.500 0.500
Sb1 0.000 0.000 0.500
Te1 0.000 0.500 0.000
Te2 0.500 0.000 0.000
```



Entry 3:
Compound: GeBiSbTe2
Source: Alexandria via LeMat-Bulk
Functional: PBE-GGA
Structure: relaxed

Total magnetic moment ... 0.00 μB per atom
Formation energy without anion corrections ... 0.88 eV per atom
Energy relative to the lowest polymorph listed for this composition ... 0.439 eV per atom

CIF file:
```
data_GeBiSbTe2
_cell_length_a 5.879
_cell_length_b 5.879
_cell_length_c 5.809
_cell_angle_alpha 90.00
_cell_angle_beta 90.00
_cell_angle_gamma 90.00
_space_group_name_H-M_alt 'P 1'
_space_group_IT_number 1
loop_
_space_group_symop_operation_xyz
'x,y,z'
loop_
_atom_site_label
_atom_site_fract_x
_atom_site_fract_y
_atom_site_fract_z
Ge1 0.000 0.000 0.000
Bi1 0.500 0.500 0.500
Sb1 0.500 0.500 0.000
Te1 0.000 0.500 0.500
Te2 0.500 0.000 0.500
```



Please write out number 2 again, unchanged.
Compound: GeBiSbTe2
Source: Alexandria via LeMat-Bulk
Functional: PBE-GGA
Structure: relaxed

Total magnetic moment ... 0.00 μB per atom
Formation energy without anion corrections ... 0.44 eV per atom
Energy relative to the lowest polymorph listed for this composition ... 0.000 eV per atom

CIF file:
```
data_GeBiSbTe2
_cell_length_a 5.377
_cell_length_b 5.377
_cell_length_c 5.412
_cell_angle_alpha 90.00
_cell_angle_beta 90.00
_cell_angle_gamma 90.00
_space_group_name_H-M_alt 'P 1'
_space_group_IT_number 1
loop_
_space_group_symop_operation_xyz
'x,y,z'
loop_
_atom_site_label
_atom_site_fract_x
_atom_site_fract_y
_atom_site_fract_z
Ge1 0.000 0.000 0.000
Bi1 0.500 0.500 0.500
Sb1 0.000 0.000 0.500
Te1 0.000 0.500 0.000
Te2 0.500 0.000 0.000
```



Question: What is the formula in the second record?
Answer: GeBiSbTe2



Question: Which of these has the highest formation energy without anion corrections?
Answer: number 3



Question: Which formula does entry 1 have?
Answer: SiGeBiSb2